(1)
Here is crystalline TbCdGePd at its relaxed geometry from the Alexandria database. Energies are from PBE.

a = 4.8578 Å, b = 4.8578 Å, c = 4.8578 Å
α = 60.00°, β = 60.00°, γ = 60.00°
Closest atoms and distances in Å follow each position.
Positions (direct):
Cd: 0.2500 0.2500 0.2500  4 Pd 2.97, 4 Ge 2.97
Ge: 0.5000 0.5000 0.5000  4 Cd 2.97, 4 Tb 2.97
Tb: 0.7500 0.7500 0.7500  4 Ge 2.97, 4 Pd 2.97
Pd: 0.0000 0.0000 0.0000  4 Tb 2.97, 4 Cd 2.97

## Properties
Volume ... 81.1 Å³/cell
Formation energy from the elements ... -205 kJ/mol of formula units



(2)
Here is crystalline Tb2CdGe4Pd3 at its relaxed geometry from the Alexandria database. Energies are from PBE.

a = 4.2017 Å, b = 4.2017 Å, c = 10.9966 Å
α = 90.00°, β = 90.00°, γ = 90.00°
Closest atoms and distances in Å follow each position.
Positions (direct):
Ge: 0.5000 0.0000 0.6503  3 Pd 2.43-2.67, 2 Cd 2.67
Tb: 0.5000 0.0000 0.2465  8 Ge 3.18-3.43, 6 Pd 3.24-3.49, 2 Cd 3.49
Cd: 0.5000 0.5000 0.5000  4 Ge 2.67, 4 Pd 2.97
Pd: 0.0000 0.0000 0.5000  4 Ge 2.67, 4 Cd 2.97
Pd: 0.0000 0.5000 0.1291  5 Ge 2.43-2.54
Pd: 0.5000 0.0000 0.8709  5 Ge 2.43-2.54
Tb: 0.0000 0.5000 0.7535  8 Ge 3.18-3.43, 6 Pd 3.24-3.49, 2 Cd 3.49
Ge: 0.0000 0.5000 0.3497  3 Pd 2.43-2.67, 2 Cd 2.67
Ge: 0.0000 0.0000 0.0000  4 Pd 2.54
Ge: 0.5000 0.5000 0.0000  4 Pd 2.54

## Properties
Volume ... 194.1 Å³/cell
Formation energy from the elements ... -643 kJ/mol of formula units



(3)
Here is crystalline TlCd2GePd at its relaxed geometry from the Alexandria database. Energies are from PBE.

a = 5.2705 Å, b = 5.2705 Å, c = 4.7463 Å
α = 90.00°, β = 90.00°, γ = 90.00°
Closest atoms and distances in Å follow each position.
Positions (direct):
Ge: 0.0000 0.0000 0.5000  2 Pd 2.37
Cd: 0.0000 0.5000 0.0000  2 Pd 2.64
Cd: 0.5000 0.0000 0.0000  2 Pd 2.64
Pd: 0.0000 0.0000 0.0000  2 Ge 2.37, 4 Cd 2.64
Tl: 0.5000 0.5000 0.5000  8 Cd 3.55, 4 Ge 3.73

## Properties
Volume ... 131.8 Å³/cell
Formation energy from the elements ... -2 kJ/mol of formula units



(4)
Here is crystalline Y2CdGe4Pd3 at its relaxed geometry from the Alexandria database. Energies are from PBE.

a = 4.1907 Å, b = 4.1907 Å, c = 11.0433 Å
α = 90.00°, β = 90.00°, γ = 90.00°
Closest atoms and distances in Å follow each position.
Positions (direct):
Pd: 0.0000 0.0000 0.5000  4 Ge 2.67, 4 Cd 2.96
Y: 0.0000 0.5000 0.7520  8 Ge 3.17-3.45, 6 Pd 3.24-3.48, 2 Cd 3.48
Ge: 0.5000 0.5000 0.0000  4 Pd 2.54
Cd: 0.5000 0.5000 0.5000  4 Ge 2.67, 4 Pd 2.96
Ge: 0.0000 0.0000 0.0000  4 Pd 2.54
Pd: 0.0000 0.5000 0.1297  5 Ge 2.43-2.54
Y: 0.5000 0.0000 0.2480  8 Ge 3.17-3.45, 6 Pd 3.24-3.48, 2 Cd 3.48
Ge: 0.5000 0.0000 0.6506  3 Pd 2.43-2.67, 2 Cd 2.67
Pd: 0.5000 0.0000 0.8703  5 Ge 2.43-2.54
Ge: 0.0000 0.5000 0.3494  3 Pd 2.43-2.67, 2 Cd 2.67

## Properties
Volume ... 193.9 Å³/cell
Formation energy from the elements ... -640 kJ/mol of formula units



(5)
Here is crystalline ZnCd2Ge2Pd5 at its relaxed geometry from the Alexandria database. Energies are from PBE.

a = 3.2264 Å, b = 10.2108 Å, c = 10.2108 Å
α = 90.00°, β = 90.00°, γ = 90.00°
Closest atoms and distances in Å follow each position.
Positions (direct):
Cd: 0.0000 0.3259 0.8259  1 Ge 2.71, 6 Pd 2.90-2.99
Zn: 0.0000 0.0000 0.0000  8 Pd 2.65
Ge: 0.0000 0.1386 0.6386  6 Pd 2.54-2.57, 1 Cd 2.71
Cd: 0.0000 0.8259 0.6741  1 Ge 2.71, 6 Pd 2.90-2.99
Pd: 0.5000 0.7043 0.4724  2 Ge 2.54, 2 Zn 2.65
Pd: 0.5000 0.5000 0.0000  4 Ge 2.57
Cd: 0.0000 0.1741 0.3259  1 Ge 2.71, 6 Pd 2.90-2.99
Pd: 0.5000 0.5276 0.7043  2 Ge 2.54, 2 Zn 2.65
Pd: 0.5000 0.9724 0.2043  2 Ge 2.54, 2 Zn 2.65
Pd: 0.5000 0.4724 0.2957  2 Ge 2.54, 2 Zn 2.65
Pd: 0.5000 0.2043 0.0276  2 Ge 2.54, 2 Zn 2.65
Pd: 0.5000 0.2957 0.5276  2 Ge 2.54, 2 Zn 2.65
Cd: 0.0000 0.6741 0.1741  1 Ge 2.71, 6 Pd 2.90-2.99
Ge: 0.0000 0.3614 0.1386  6 Pd 2.54-2.57, 1 Cd 2.71
Pd: 0.5000 0.0000 0.5000  4 Ge 2.57
Pd: 0.5000 0.7957 0.9724  2 Ge 2.54, 2 Zn 2.65
Ge: 0.0000 0.6386 0.8614  6 Pd 2.54-2.57, 1 Cd 2.71
Ge: 0.0000 0.8614 0.3614  6 Pd 2.54-2.57, 1 Cd 2.71
Zn: 0.0000 0.5000 0.5000  8 Pd 2.65
Pd: 0.5000 0.0276 0.7957  2 Ge 2.54, 2 Zn 2.65

## Properties
Volume ... 336.4 Å³/cell
Formation energy from the elements ... -335 kJ/mol of formula units



(6)
Here is crystalline Zn2Cd2GePd5 at its relaxed geometry from the Alexandria database. Energies are from PBE.

a = 3.0499 Å, b = 10.5098 Å, c = 10.5098 Å
α = 90.00°, β = 90.00°, γ = 90.00°
Closest atoms and distances in Å follow each position.
Positions (direct):
Cd: 0.0000 0.8432 0.6568  6 Pd 2.79-2.84, 3 Zn 3.05-3.11, 2 Cd 3.05
Pd: 0.5000 0.1617 0.1148  2 Ge 2.58, 2 Zn 2.61, 2 Cd 2.84
Pd: 0.5000 0.6148 0.6617  2 Ge 2.58, 2 Zn 2.61, 2 Cd 2.84
Zn: 0.0000 0.1382 0.6382  6 Pd 2.56-2.61
Cd: 0.0000 0.3432 0.8432  6 Pd 2.79-2.84, 3 Zn 3.05-3.11, 2 Cd 3.05
Zn: 0.0000 0.3618 0.1382  6 Pd 2.56-2.61
Ge: 0.0000 0.0000 0.0000  8 Pd 2.58
Pd: 0.5000 0.3383 0.6148  2 Ge 2.58, 2 Zn 2.61, 2 Cd 2.84
Pd: 0.5000 0.6617 0.3852  2 Ge 2.58, 2 Zn 2.61, 2 Cd 2.84
Cd: 0.0000 0.6568 0.1568  6 Pd 2.79-2.84, 3 Zn 3.05-3.11, 2 Cd 3.05
Pd: 0.5000 0.5000 0.0000  4 Zn 2.56, 4 Cd 2.79
Pd: 0.5000 0.8383 0.8852  2 Ge 2.58, 2 Zn 2.61, 2 Cd 2.84
Zn: 0.0000 0.6382 0.8618  6 Pd 2.56-2.61
Pd: 0.5000 0.1148 0.8383  2 Ge 2.58, 2 Zn 2.61, 2 Cd 2.84
Pd: 0.5000 0.0000 0.5000  4 Zn 2.56, 4 Cd 2.79
Pd: 0.5000 0.3852 0.3383  2 Ge 2.58, 2 Zn 2.61, 2 Cd 2.84
Cd: 0.0000 0.1568 0.3432  6 Pd 2.79-2.84, 3 Zn 3.05-3.11, 2 Cd 3.05
Zn: 0.0000 0.8618 0.3618  6 Pd 2.56-2.61
Ge: 0.0000 0.5000 0.5000  8 Pd 2.58
Pd: 0.5000 0.8852 0.1617  2 Ge 2.58, 2 Zn 2.61, 2 Cd 2.84

## Properties
Volume ... 336.9 Å³/cell
Formation energy from the elements ... -362 kJ/mol of formula units



(7)
Here is crystalline PmCdGe4 at its relaxed geometry from the Alexandria database. Energies are from PBE.

a = 5.6563 Å, b = 5.6563 Å, c = 5.6563 Å
α = 60.00°, β = 60.00°, γ = 60.00°
Closest atoms and distances in Å follow each position.
Positions (direct):
Cd: 0.0000 0.0000 0.0000  12 Ge 3.32, 4 Pm 3.46
Ge: 0.1259 0.6247 0.6247  6 Ge 2.82-2.83
Pm: 0.2500 0.2500 0.2500  12 Ge 3.32, 4 Cd 3.46
Ge: 0.6247 0.6247 0.6247  6 Ge 2.82-2.83
Ge: 0.6247 0.1259 0.6247  6 Ge 2.82-2.83
Ge: 0.6247 0.6247 0.1259  6 Ge 2.82-2.83

## Properties
Volume ... 128.0 Å³/cell
Formation energy from the elements ... -108 kJ/mol of formula units



(8)
Here is crystalline Pm3Cd4Ge4 at its relaxed geometry from the Alexandria database. Energies are from PBE.

a = 4.2726 Å, b = 8.3112 Å, c = 8.6646 Å
α = 118.66°, β = 104.27°, γ = 90.00°
Closest atoms and distances in Å follow each position.
Positions (direct):
Pm: 0.8850 0.8850 0.7700  6 Ge 3.13-3.22, 1 Pm 3.36, 6 Cd 3.44-3.48
Pm: 0.0000 0.5000 0.0000  6 Ge 3.23-3.34
Cd: 0.6734 0.4808 0.3468  4 Ge 2.66-2.93
Cd: 0.6734 0.8660 0.3468  4 Ge 2.66-2.93
Cd: 0.3266 0.1340 0.6532  4 Ge 2.66-2.93
Ge: 0.5000 0.7913 0.0000  2 Cd 2.66
Ge: 0.5000 0.2087 0.0000  2 Cd 2.66
Ge: 0.2286 0.7286 0.4572  6 Cd 2.79-2.93
Pm: 0.1150 0.1150 0.2300  6 Ge 3.13-3.22, 1 Pm 3.36, 6 Cd 3.44-3.48
Ge: 0.7714 0.2714 0.5428  6 Cd 2.79-2.93
Cd: 0.3266 0.5192 0.6532  4 Ge 2.66-2.93

## Properties
Volume ... 259.1 Å³/cell
Formation energy from the elements ... -439 kJ/mol of formula units



(9)
Here is crystalline PmCdGe at its relaxed geometry from the Alexandria database. Energies are from PBE.

a = 4.7874 Å, b = 4.7874 Å, c = 4.7874 Å
α = 60.00°, β = 60.00°, γ = 60.00°
Closest atoms and distances in Å follow each position.
Positions (direct):
Cd: 0.0000 0.0000 0.0000  4 Ge 2.93
Pm: 0.5000 0.5000 0.5000  4 Ge 2.93
Ge: 0.2500 0.2500 0.2500  4 Cd 2.93, 4 Pm 2.93

## Properties
Volume ... 77.6 Å³/cell
Formation energy from the elements ... -120 kJ/mol of formula units



(10)
Here is crystalline Pm2Cd2Ge3 at its relaxed geometry from the Alexandria database. Energies are from PBE.

a = 7.6422 Å, b = 7.6422 Å, c = 7.6422 Å
α = 109.47°, β = 109.47°, γ = 109.47°
Closest atoms and distances in Å follow each position.
Positions (direct):
Cd: 0.0000 0.0000 0.8736  3 Ge 2.86, 1 Pm 3.07
Ge: 0.7602 0.2500 0.5102  2 Cd 2.86, 4 Pm 3.01-3.07, 4 Ge 3.19
Pm: 0.5000 0.4720 0.5000  6 Ge 3.01-3.07, 1 Cd 3.07
Ge: 0.2500 0.9898 0.2398  2 Cd 2.86, 4 Pm 3.01-3.07, 4 Ge 3.19
Cd: 0.3736 0.5000 0.0000  3 Ge 2.86, 1 Pm 3.07
Pm: 0.9720 0.5000 0.0000  6 Ge 3.01-3.07, 1 Cd 3.07
Ge: 0.0102 0.2602 0.2500  2 Cd 2.86, 4 Pm 3.01-3.07, 4 Ge 3.19
Ge: 0.4898 0.2398 0.7500  2 Cd 2.86, 4 Pm 3.01-3.07, 4 Ge 3.19
Ge: 0.7500 0.5102 0.2602  2 Cd 2.86, 4 Pm 3.01-3.07, 4 Ge 3.19
Pm: 0.5280 0.0280 0.0280  6 Ge 3.01-3.07, 1 Cd 3.07
Cd: 0.1264 0.6264 0.6264  3 Ge 2.86, 1 Pm 3.07
Ge: 0.7398 0.7500 0.9898  2 Cd 2.86, 4 Pm 3.01-3.07, 4 Ge 3.19
Cd: 0.5000 0.8736 0.5000  3 Ge 2.86, 1 Pm 3.07
Pm: 0.0000 0.0000 0.4720  6 Ge 3.01-3.07, 1 Cd 3.07

## Properties
Volume ... 343.6 Å³/cell
Formation energy from the elements ... -253 kJ/mol of formula units



(11)
Here is crystalline PmCdGe2 at its relaxed geometry from the Alexandria database. Energies are from PBE.

a = 3.7296 Å, b = 3.7296 Å, c = 6.5232 Å
α = 90.00°, β = 90.00°, γ = 90.00°
Closest atoms and distances in Å follow each position.
Positions (direct):
Ge: 0.0000 0.0000 0.7908  1 Ge 2.73, 4 Cd 2.97
Ge: 0.0000 0.0000 0.2092  1 Ge 2.73, 4 Cd 2.97
Cd: 0.5000 0.5000 0.0000  8 Ge 2.97, 2 Pm 3.26
Pm: 0.5000 0.5000 0.5000  8 Ge 3.25, 2 Cd 3.26

## Properties
Volume ... 90.7 Å³/cell
Formation energy from the elements ... -78 kJ/mol of formula units